# Li3Zn8Ag

An optimized crystal structure of Li3Zn8Ag (PBE, the Alexandria database).

Calculated formation energy (eV/atom): -0.15
Size of the total moment (μB per formula unit): 0.0

Cell and atoms, written as extended XYZ:
```
12
Lattice="2.544 1.469 8.452 -2.544 1.469 8.452 0.000 -2.938 8.452" Properties=species:S:1:pos:R:3 pbc="T T T"
Li 0.000 0.000 0.000
Li 0.000 0.000 3.180
Li 0.000 0.000 15.805
Zn 0.000 -1.472 5.805
Zn -1.272 -0.734 10.016
Zn -1.275 0.736 5.805
Zn 0.000 0.000 7.922
Zn 1.272 -0.734 10.016
Zn 0.000 1.468 10.016
Zn 1.275 0.736 5.805
Zn 0.000 0.000 20.584
Ag 0.000 0.000 12.661
```